No. 1
# VZnS2Cl

An optimized crystal structure of VZnS2Cl (PBE, Alexandria).

a = 4.6743 Å, b = 4.6743 Å, c = 4.7277 Å
α = 90.00°, β = 90.00°, γ = 90.00°
With the nearest neighbours (Å) after each atom.
Element x y z (fractional)
V: 0.0000 0.0000 0.0000  4 Cl 3.31, 8 S 3.32
Zn: 0.5000 0.5000 0.5000  4 S 2.34, 2 Cl 2.36
S: 0.0000 0.5000 0.5000  2 Zn 2.34
S: 0.5000 0.0000 0.5000  2 Zn 2.34
Cl: 0.5000 0.5000 0.0000  2 Zn 2.36

- raw formation energy (meV/atom) = 290
- total magnetization (μB per formula unit) = 2.6
- Fermi-level density of states (states/eV per atom) = 1.216


No. 2
# CsK4Pt

An optimized crystal structure of CsK4Pt (PBE, Alexandria).

a = 11.5104 Å, b = 11.5104 Å, c = 7.9006 Å
α = 100.41°, β = 100.41°, γ = 46.97°
With the nearest neighbours (Å) after each atom.
Element x y z (fractional)
Cs: 0.1962 0.1962 0.1734  12 K 4.68-5.13
Cs: 0.8038 0.8038 0.8266  12 K 4.68-5.13
K: 0.1695 0.6435 0.3861  2 Pt 3.16-3.32
K: 0.2923 0.7077 0.0000  2 Pt 3.33
K: 0.3318 0.3318 0.7482  1 Pt 3.33
K: 0.3565 0.8305 0.6139  2 Pt 3.16-3.32
K: 0.6435 0.1695 0.3861  2 Pt 3.16-3.32
K: 0.6682 0.6682 0.2518  1 Pt 3.33
K: 0.7077 0.2923 0.0000  2 Pt 3.33
K: 0.8305 0.3565 0.6139  2 Pt 3.16-3.32
Pt: 0.4775 0.4775 0.6469  1 Pt 2.68
Pt: 0.5225 0.5225 0.3531  1 Pt 2.68

- DFT formation energy (meV per atom) = 16
- total magnetization (μB per formula unit) = 0.0
- Fermi-level density of states (states/eV per atom) = 0.614


No. 3
# Nb2RuRh

An optimized crystal structure of Nb2RuRh (PBE, Alexandria).

a = 2.9597 Å, b = 2.9597 Å, c = 7.3789 Å
α = 90.00°, β = 90.00°, γ = 90.00°
With the nearest neighbours (Å) after each atom.
Element x y z (fractional)
Nb: 0.0000 0.0000 0.2419  4 Ru 2.75, 4 Rh 2.83, 4 Nb 2.96
Nb: 0.0000 0.0000 0.7581  4 Ru 2.75, 4 Rh 2.83, 4 Nb 2.96
Ru: 0.5000 0.5000 0.0000  8 Nb 2.75, 4 Ru 2.96
Rh: 0.5000 0.5000 0.5000  8 Nb 2.83, 4 Rh 2.96

- DFT formation energy (meV per atom) = -273
- total magnetization (μB per formula unit) = 0.0
- Fermi-level density of states (states/eV per atom) = 1.524


No. 4
# SmAlPd

An optimized crystal structure of SmAlPd (PBE, Alexandria).

a = 3.3163 Å, b = 3.3163 Å, c = 11.1893 Å
α = 90.00°, β = 90.00°, γ = 90.00°
With the nearest neighbours (Å) after each atom.
Element x y z (fractional)
Sm: 0.0000 0.0000 0.0000  5 Pd 3.18-3.45, 5 Al 3.27-3.32, 4 Sm 3.32
Sm: 0.5000 0.5000 0.5000  5 Pd 3.18-3.45, 5 Al 3.27-3.32, 4 Sm 3.32
Al: 0.0000 0.0000 0.7033  4 Pd 2.62
Al: 0.5000 0.5000 0.2033  4 Pd 2.62
Pd: 0.0000 0.0000 0.3079  4 Al 2.62
Pd: 0.5000 0.5000 0.8079  4 Al 2.62

- DFT formation energy (meV per atom) = -639
- total magnetization (μB per formula unit) = 0.0
- Fermi-level density of states (states/eV per atom) = 0.980